# PBE AcTb2PmSm, optimized geometry
# calculated formation energy	1.798	eV/f.u.
# calculated volume	37.39	A^3/atom
# SG	No. 63
data_AcTb2PmSm
_space_group_name_H-M_alt 'P 1'
_space_group_IT_number 1
_cell_length_a 6.4890
_cell_length_b 6.6089
_cell_length_c 9.3233
_cell_angle_alpha 110.76
_cell_angle_beta 90.00
_cell_angle_gamma 90.00
loop_
_space_group_symop_operation_xyz
'x,y,z'
loop_
_atom_site_label
_atom_site_type_symbol
_atom_site_fract_x
_atom_site_fract_y
_atom_site_fract_z
Ac1 Ac 0.2500 0.6575 0.3150
Ac2 Ac 0.7500 0.3425 0.6850
Tb1 Tb 0.5000 0.2429 0.0000
Tb2 Tb 0.0000 0.7571 0.0000
Tb3 Tb 0.5000 0.7571 0.0000
Tb4 Tb 0.0000 0.2429 0.0000
Pm1 Pm 0.2500 0.8477 0.6954
Pm2 Pm 0.7500 0.1523 0.3046
Sm1 Sm 0.7500 0.7789 0.5577
Sm2 Sm 0.2500 0.2211 0.4423